No. 1
## LiHoTlSn (PBE-GGA)

Data for a geometry-optimized LiHoTlSn structure.

## Properties
* relative energy among the computed polymorphs: 58 meV/atom
* total magnetic moment: 0.00 μB per formula unit
* calculated formation energy: -0.37 eV per atom
* uncorrected energy: -3.58 eV per atom

a = 5.177 Å, b = 5.177 Å, c = 5.177 Å
α = 60.00°, β = 60.00°, γ = 60.00°
Positions (direct):
Li 0.000 0.000 0.000
Ho 0.500 0.500 0.500
Tl 0.250 0.250 0.250
Sn 0.750 0.750 0.750



No. 2
## AuI4Cl (PBE-GGA)

Data for a geometry-optimized AuI4Cl structure.

## Properties
* formation energy without anion corrections: 0.095 eV per atom
* total magnetic moment: 0.00 μB per formula unit
* uncorrected energy: -1.79 eV per atom

a = 9.068 Å, b = 9.068 Å, c = 8.615 Å
α = 118.00°, β = 118.00°, γ = 54.60°
Positions (direct):
Au 0.044 0.044 0.262
Au 0.956 0.956 0.738
I 0.114 0.685 0.459
I 0.227 0.773 0.000
I 0.315 0.886 0.541
I 0.330 0.330 0.158
I 0.670 0.670 0.842
I 0.685 0.114 0.459
I 0.773 0.227 0.000
I 0.886 0.315 0.541
Cl 0.266 0.266 0.607
Cl 0.734 0.734 0.393



No. 3
## CrSiSn2 (PBE-GGA)

Data for a geometry-optimized CrSiSn2 structure.

## Properties
* formation energy without anion corrections: 0.464 eV per atom
* total magnetic moment: 4.11 μB per formula unit
* uncorrected energy: -5.30 eV per atom

a = 6.210 Å, b = 6.210 Å, c = 6.210 Å
α = 103.70°, β = 103.70°, γ = 121.76°
Positions (direct):
Cr 0.000 0.000 0.000
Cr 0.750 0.250 0.500
Si 0.250 0.750 0.500
Si 0.500 0.500 0.000
Sn 0.149 0.625 0.024
Sn 0.375 0.399 0.524
Sn 0.601 0.125 0.976
Sn 0.875 0.851 0.476



No. 4
## CaSm2ThSb4 (PBE-GGA)

Data for a geometry-optimized CaSm2ThSb4 structure.

## Properties
* formation energy without anion corrections: -1.086 eV per atom
* total magnetic moment: 0.00 μB per formula unit
* uncorrected energy: -5.50 eV per atom

a = 7.812 Å, b = 6.355 Å, c = 7.813 Å
α = 66.00°, β = 48.00°, γ = 66.00°
Positions (direct):
Ca 0.000 0.000 0.000
Sm 0.251 0.251 0.249
Sm 0.751 0.751 0.749
Th 0.501 0.501 0.499
Sb 0.001 0.500 0.999
Sb 0.254 0.748 0.252
Sb 0.500 0.001 0.500
Sb 0.748 0.254 0.746



No. 5
## BeCu2Ru (PBE-GGA)

Data for a geometry-optimized BeCu2Ru structure.

## Properties
* total magnetic moment: 0.00 μB per formula unit
* calculated formation energy: 0.30 eV per atom
* uncorrected energy: -4.99 eV per atom

a = 9.227 Å, b = 9.227 Å, c = 9.227 Å
α = 159.31°, β = 159.31°, γ = 29.43°
Positions (direct):
Be 0.000 0.000 0.000
Be 0.750 0.250 0.500
Cu 0.118 0.625 0.993
Cu 0.375 0.368 0.493
Cu 0.632 0.125 0.007
Cu 0.875 0.882 0.507
Ru 0.250 0.750 0.500
Ru 0.500 0.500 0.000



No. 6
## CsTl2Cu2Br6 (PBE-GGA)

Data for a geometry-optimized CsTl2Cu2Br6 structure.

## Properties
* formation energy without anion corrections: -0.762 eV per atom
* total magnetic moment: 1.08 μB per formula unit
* uncorrected energy: -2.93 eV per atom

a = 6.839 Å, b = 6.839 Å, c = 10.438 Å
α = 107.41°, β = 107.41°, γ = 67.59°
Positions (direct):
Cs 0.000 0.000 0.000
Tl 0.186 0.186 0.630
Tl 0.814 0.814 0.370
Cu 0.473 0.473 0.191
Cu 0.527 0.527 0.809
Br 0.188 0.690 0.674
Br 0.310 0.812 0.326
Br 0.317 0.317 0.974
Br 0.683 0.683 0.026
Br 0.690 0.188 0.674
Br 0.812 0.310 0.326



No. 7
## ScPO2F (PBE-GGA)

Data for a geometry-optimized ScPO2F structure.

## Properties
* formation energy without anion corrections: -1.286 eV per atom
* total magnetic moment: 0.95 μB per formula unit
* uncorrected energy: -5.99 eV per atom

a = 3.790 Å, b = 3.790 Å, c = 4.241 Å
α = 90.00°, β = 90.00°, γ = 90.00°
Positions (direct):
Sc 0.000 0.000 0.000
P 0.500 0.500 0.500
O 0.000 0.500 0.500
O 0.500 0.000 0.500
F 0.500 0.500 0.000